Record 1
First-principles (PBE) data for NdSm4Hg4 after structural relaxation, as listed in Alexandria.

Unit cell a=5.6754 b=9.6538 c=9.6538 alpha=90.00 beta=90.00 gamma=90.00
Last column: nearest neighbours and their distance in Å.
Fractional positions:
Sm 0.0973 0.0881 0.6538  4 Hg 3.15-3.21, 1 Sm 3.42, 1 Nd 3.49
Sm 0.0973 0.9119 0.3462  4 Hg 3.15-3.21, 1 Sm 3.42, 1 Nd 3.49
Sm 0.4027 0.5881 0.1538  4 Hg 3.15-3.21, 1 Sm 3.42, 1 Nd 3.49
Sm 0.4027 0.4119 0.8462  4 Hg 3.15-3.21, 1 Sm 3.42, 1 Nd 3.49
Sm 0.5973 0.1538 0.4119  4 Hg 3.15-3.21, 1 Sm 3.42, 1 Nd 3.49
Sm 0.9027 0.3462 0.0881  4 Hg 3.15-3.21, 1 Sm 3.42, 1 Nd 3.49
Sm 0.9027 0.6538 0.9119  4 Hg 3.15-3.21, 1 Sm 3.42, 1 Nd 3.49
Sm 0.5973 0.8462 0.5881  4 Hg 3.15-3.21, 1 Sm 3.42, 1 Nd 3.49
Hg 0.5978 0.8954 0.2050  4 Sm 3.15-3.21, 1 Nd 3.19, 3 Hg 3.33-3.41
Hg 0.9022 0.3954 0.7050  4 Sm 3.15-3.21, 1 Nd 3.19, 3 Hg 3.33-3.41
Hg 0.0978 0.7050 0.6046  4 Sm 3.15-3.21, 1 Nd 3.19, 3 Hg 3.33-3.41
Hg 0.4022 0.7950 0.8954  4 Sm 3.15-3.21, 1 Nd 3.19, 3 Hg 3.33-3.41
Hg 0.9022 0.6046 0.2950  4 Sm 3.15-3.21, 1 Nd 3.19, 3 Hg 3.33-3.41
Hg 0.5978 0.1046 0.7950  4 Sm 3.15-3.21, 1 Nd 3.19, 3 Hg 3.33-3.41
Hg 0.4022 0.2050 0.1046  4 Sm 3.15-3.21, 1 Nd 3.19, 3 Hg 3.33-3.41
Hg 0.0978 0.2950 0.3954  4 Sm 3.15-3.21, 1 Nd 3.19, 3 Hg 3.33-3.41
Nd 0.0000 0.0000 0.0000  4 Hg 3.19, 4 Sm 3.49
Nd 0.5000 0.5000 0.5000  4 Hg 3.19, 4 Sm 3.49

Summary:
E	-0.2223	Ry/atom
symmetry	P4_2/n (86)
size of the total moment	0.0000	μB per atom

Record 2
First-principles (PBE) data for Nd4SmHg after structural relaxation, as listed in Alexandria.

Unit cell a=6.5493 b=9.2578 c=8.4255 alpha=113.54 beta=100.17 gamma=112.71
Last column: nearest neighbours and their distance in Å.
Fractional positions:
Hg 0.7484 0.9984 0.9969  8 Nd 3.24-3.34, 2 Hg 3.27
Hg 0.2516 0.0016 0.0031  8 Nd 3.24-3.34, 2 Hg 3.27
Nd 0.2273 0.6023 0.7697  2 Hg 3.34, 4 Nd 3.42-3.74, 2 Sm 3.48-3.63
Nd 0.0424 0.1674 0.7697  2 Hg 3.34, 4 Nd 3.42-3.74, 2 Sm 3.48-3.63
Nd 0.7727 0.3977 0.2303  2 Hg 3.34, 4 Nd 3.42-3.74, 2 Sm 3.48-3.63
Nd 0.7610 0.7124 0.6237  2 Hg 3.24-3.26, 3 Nd 3.42-3.47
Nd 0.6374 0.0888 0.3763  2 Hg 3.24-3.26, 3 Nd 3.42-3.47
Nd 0.2390 0.2876 0.3763  2 Hg 3.24-3.26, 3 Nd 3.42-3.47
Nd 0.9576 0.8326 0.2303  2 Hg 3.34, 4 Nd 3.42-3.74, 2 Sm 3.48-3.63
Nd 0.3626 0.9112 0.6237  2 Hg 3.24-3.26, 3 Nd 3.42-3.47
Sm 0.6583 0.4083 0.8165  8 Nd 3.48-3.69
Sm 0.3417 0.5917 0.1835  8 Nd 3.48-3.69

Summary:
E	-0.2994	Ry/atom
symmetry	C2/c (15)
E above lowest polymorph	0.0903	eV per atom
size of the total moment	0.0000	μB per atom

Record 3
First-principles (PBE) data for NdSm4Hg2 after structural relaxation, as listed in Alexandria.

Unit cell a=3.7000 b=8.8954 c=14.3756 alpha=106.13 beta=82.61 gamma=78.00
Last column: nearest neighbours and their distance in Å.
Fractional positions:
Sm 0.6992 0.3183 0.2834  4 Hg 3.23-3.47, 3 Sm 3.47-3.60
Sm 0.7120 0.9570 0.6190  2 Hg 3.23, 2 Sm 3.49
Sm 0.0027 0.6842 0.3103  2 Hg 3.17, 4 Sm 3.46-3.49
Sm 0.2880 0.0430 0.3810  2 Hg 3.23, 2 Sm 3.49
Sm 0.3008 0.6817 0.7166  4 Hg 3.23-3.47, 3 Sm 3.47-3.60
Sm 0.6989 0.5024 0.0999  2 Hg 3.25, 5 Sm 3.39-3.47
Sm 0.3011 0.4976 0.9001  2 Hg 3.25, 5 Sm 3.39-3.47
Sm 0.9973 0.3158 0.6897  2 Hg 3.17, 4 Sm 3.46-3.49
Hg 0.6329 0.8133 0.9208  4 Sm 3.25-3.33, 1 Hg 3.32, 4 Nd 3.33-3.34
Hg 0.5758 0.3354 0.5129  1 Hg 3.00, 5 Sm 3.17-3.23
Hg 0.4242 0.6646 0.4871  1 Hg 3.00, 5 Sm 3.17-3.23
Hg 0.3671 0.1867 0.0792  4 Sm 3.25-3.33, 1 Hg 3.32, 4 Nd 3.33-3.34
Nd 0.0118 0.1017 0.8747  4 Hg 3.33-3.34, 2 Sm 3.64-3.68, 2 Nd 3.70
Nd 0.9882 0.8983 0.1253  4 Hg 3.33-3.34, 2 Sm 3.64-3.68, 2 Nd 3.70

Summary:
E	-0.2672	Ry/atom
symmetry	C2/m (12)
E above lowest polymorph	0.0000	eV per atom
size of the total moment	0.0000	μB per atom

Record 4
First-principles (PBE) data for NdSmHg after structural relaxation, as listed in Alexandria.

Unit cell a=5.2330 b=5.2330 c=5.2330 alpha=60.00 beta=60.00 gamma=60.00
Last column: nearest neighbours and their distance in Å.
Fractional positions:
Nd 0.0000 0.0000 0.0000  4 Hg 3.20
Hg 0.2500 0.2500 0.2500  4 Sm 3.20, 4 Nd 3.20
Sm 0.5000 0.5000 0.5000  4 Hg 3.20

Summary:
E	-0.2468	Ry/atom
symmetry	F-43m (216)
E above lowest polymorph	0.2098	eV per atom
size of the total moment	0.2187	μB per atom

Record 5
First-principles (PBE) data for Nd2SmHg after structural relaxation, as listed in Alexandria.

Unit cell a=3.7298 b=3.7298 c=11.0723 alpha=80.30 beta=80.30 gamma=60.00
Last column: nearest neighbours and their distance in Å.
Fractional positions:
Nd 0.0760 0.0760 0.7720  3 Hg 3.28, 3 Sm 3.65
Nd 0.2574 0.2574 0.2277  3 Hg 3.28, 3 Sm 3.66
Hg 0.6668 0.6668 0.9997  6 Nd 3.28
Sm 0.4998 0.4998 0.5006  6 Nd 3.65-3.66, 6 Sm 3.73

Summary:
E	-0.2776	Ry/atom
symmetry	R3m (160)
E above lowest polymorph	0.0877	eV per atom
size of the total moment	0.0000	μB per atom

Record 6
First-principles (PBE) data for NdSmHg after structural relaxation, as listed in Alexandria.

Unit cell a=5.2881 b=5.2881 c=8.2483 alpha=90.03 beta=108.79 gamma=119.79
Last column: nearest neighbours and their distance in Å.
Fractional positions:
Sm 0.7144 0.9926 0.7070  4 Hg 3.20-3.35, 3 Nd 3.55-3.58
Sm 0.0472 0.1554 0.2026  3 Hg 3.13
Hg 0.4394 0.8504 0.2898  1 Hg 3.10, 4 Sm 3.13-3.20, 3 Nd 3.34-3.36
Hg 0.1655 0.7189 0.8844  1 Hg 3.10, 4 Nd 3.13-3.18, 3 Sm 3.33-3.35
Nd 0.5586 0.4141 0.9727  3 Hg 3.13
Nd 0.8924 0.5772 0.4695  4 Hg 3.18-3.36, 2 Sm 3.55

Summary:
E	-0.2545	Ry/atom
symmetry	Cm (8)
E above lowest polymorph	0.1058	eV per atom
size of the total moment	0.0001	μB per atom

Record 7
First-principles (PBE) data for Nd4Sm5Hg after structural relaxation, as listed in Alexandria.

Unit cell a=3.6770 b=3.6770 c=24.4905 alpha=90.00 beta=90.00 gamma=90.00
Last column: nearest neighbours and their distance in Å.
Fractional positions:
Sm 0.5000 0.5000 0.0819  4 Hg 3.28, 4 Nd 3.64, 4 Sm 3.68
Sm 0.5000 0.5000 0.7095  8 Nd 3.65-3.66, 4 Sm 3.68
Sm 0.5000 0.5000 0.2905  8 Nd 3.65-3.66, 4 Sm 3.68
Sm 0.5000 0.5000 0.9181  4 Hg 3.28, 4 Nd 3.64, 4 Sm 3.68
Sm 0.5000 0.5000 0.5000  8 Nd 3.65, 4 Sm 3.68
Nd 0.0000 0.0000 0.6045  8 Sm 3.65-3.66, 4 Nd 3.68
Nd 0.0000 0.0000 0.1860  8 Sm 3.64-3.65, 4 Nd 3.68
Nd 0.0000 0.0000 0.3955  8 Sm 3.65-3.66, 4 Nd 3.68
Nd 0.0000 0.0000 0.8140  8 Sm 3.64-3.65, 4 Nd 3.68
Hg 0.0000 0.0000 0.0000  8 Sm 3.28, 4 Hg 3.68

Summary:
E	-0.3220	Ry/atom
symmetry	P4/mmm (123)
size of the total moment	0.0000	μB per atom

Record 8
First-principles (PBE) data for Nd3SmHg6 after structural relaxation, as listed in Alexandria.

Unit cell a=5.2437 b=9.4971 c=11.3531 alpha=106.49 beta=90.00 gamma=90.00
Last column: nearest neighbours and their distance in Å.
Fractional positions:
Sm 0.2500 0.9380 0.6106  8 Hg 3.10-3.38
Sm 0.7500 0.0620 0.3894  8 Hg 3.10-3.38
Hg 0.2500 0.2374 0.5050  2 Nd 3.14-3.24, 3 Sm 3.18-3.38, 1 Hg 3.36
Hg 0.7500 0.7626 0.4950  2 Nd 3.14-3.24, 3 Sm 3.18-3.38, 1 Hg 3.36
Hg 0.2500 0.4626 0.0875  7 Nd 3.21-3.44, 2 Hg 3.48
Hg 0.7500 0.3405 0.2974  4 Nd 3.09-3.34, 1 Sm 3.11, 2 Hg 3.26
Hg 0.2500 0.0621 0.8946  1 Sm 3.10, 4 Nd 3.13-3.29, 3 Hg 3.23-3.29
Hg 0.2500 0.8426 0.3123  4 Nd 3.24-3.52, 3 Sm 3.25-3.31, 3 Hg 3.43-3.56
Hg 0.7500 0.1574 0.6877  4 Nd 3.24-3.52, 3 Sm 3.25-3.31, 3 Hg 3.43-3.56
Hg 0.7500 0.5374 0.9125  7 Nd 3.21-3.44, 2 Hg 3.48
Hg 0.7500 0.8613 0.8035  7 Hg 3.23-3.43, 4 Nd 3.56-3.62, 2 Sm 3.62
Hg 0.2500 0.6595 0.7026  4 Nd 3.09-3.34, 1 Sm 3.11, 2 Hg 3.26
Hg 0.7500 0.9379 0.1054  1 Sm 3.10, 4 Nd 3.13-3.29, 3 Hg 3.23-3.29
Hg 0.2500 0.1387 0.1965  7 Hg 3.23-3.43, 4 Nd 3.56-3.62, 2 Sm 3.62
Nd 0.7500 0.4912 0.6146  4 Hg 3.09-3.28
Nd 0.7500 0.6461 0.2068  8 Hg 3.14-3.34
Nd 0.2500 0.5088 0.3854  4 Hg 3.09-3.28
Nd 0.2500 0.7748 0.9914  7 Hg 3.13-3.44
Nd 0.2500 0.3539 0.7932  8 Hg 3.14-3.34
Nd 0.7500 0.2252 0.0086  7 Hg 3.13-3.44

Summary:
E	-0.1852	Ry/atom
symmetry	P2_1/m (11)
size of the total moment	0.0000	μB per atom